BaPa2AlO8: relaxed, PBE-GGA.

Unit cell a=5.121 b=5.124 c=7.176 alpha=90.00 beta=90.00 gamma=84.13
Fractional coordinates of all 12 atoms:
1 O 0.807 0.194 0.186
2 O 0.339 0.337 0.500
3 O 0.661 0.663 0.500
4 O 0.193 0.806 0.186
5 O 0.314 0.313 0.000
6 O 0.686 0.687 0.000
7 O 0.193 0.806 0.814
8 O 0.807 0.194 0.814
9 Al 0.000 0.000 0.000
10 Ba 0.000 0.000 0.500
11 Pa 0.500 0.500 0.240
12 Pa 0.500 0.500 0.760

Its crystal system is monoclinic. Its raw formation energy is -2982 meV per atom.

ScNi2H7: relaxed, PBE-GGA.

Unit cell a=3.309 b=4.781 c=4.781 alpha=117.40 beta=90.00 gamma=90.00
Fractional coordinates of all 10 atoms:
1 Sc 0.000 0.000 0.000
2 H 0.500 0.683 0.947
3 H 0.000 0.302 0.698
4 H 0.500 0.947 0.683
5 H 0.500 0.317 0.053
6 H 0.000 0.698 0.302
7 H 0.500 0.053 0.317
8 H 0.500 0.500 0.500
9 Ni 0.500 0.302 0.698
10 Ni 0.500 0.698 0.302

Its crystal system is orthorhombic. The value obtained for the total energy is -4.243 eV per atom.